1.
Material: Cd2AgOs
Method: DFT, PBE
State: optimized geometry Values from VASP.

Cell and atoms, written as Quantum ESPRESSO input:
```
&SYSTEM
  ibrav = 0, nat = 4, ntyp = 3
/
ATOMIC_SPECIES
Cd 112.41 Cd.upf
Os 190.23 Os.upf
Ag 107.87 Ag.upf
ATOMIC_POSITIONS crystal
Cd 0.000 0.000 0.489
Cd 0.000 0.000 0.011
Os 0.500 0.500 0.250
Ag 0.500 0.500 0.750
CELL_PARAMETERS angstrom
2.888 0.000 0.000
0.000 2.888 0.000
0.000 0.000 8.608
```

Output
For the density of states at the Fermi level, the calculation gives 3.30 states/eV/cell. Its energy relative to the lowest polymorph listed for this composition is 69 meV per atom. The calculation puts the formation energy at 160 kJ/mol of formula units.



2.
Material: Ho2GeTe
Method: DFT, PBE
State: optimized geometry Values from VASP.

Cell and atoms, written as Quantum ESPRESSO input:
```
&SYSTEM
  ibrav = 0, nat = 4, ntyp = 3
/
ATOMIC_SPECIES
Ho 164.93 Ho.upf
Ge 72.64 Ge.upf
Te 127.60 Te.upf
ATOMIC_POSITIONS crystal
Ho 0.071 0.071 0.786
Ho 0.262 0.262 0.215
Ge 0.668 0.668 0.996
Te 0.499 0.499 0.504
CELL_PARAMETERS angstrom
4.207 0.000 0.000
2.103 3.643 0.000
2.103 1.214 7.215
```

Output
For the density of states at the Fermi level, the calculation gives 0.61 states/eV/cell. Its energy relative to the lowest polymorph listed for this composition is 69 meV per atom. The raw formation energy comes out at -4.4 eV per formula unit.



What did the second record say?
Material: Ho2GeTe
Method: DFT, PBE
State: optimized geometry Values from VASP.

Cell and atoms, written as Quantum ESPRESSO input:
```
&SYSTEM
  ibrav = 0, nat = 4, ntyp = 3
/
ATOMIC_SPECIES
Ho 164.93 Ho.upf
Ge 72.64 Ge.upf
Te 127.60 Te.upf
ATOMIC_POSITIONS crystal
Ho 0.071 0.071 0.786
Ho 0.262 0.262 0.215
Ge 0.668 0.668 0.996
Te 0.499 0.499 0.504
CELL_PARAMETERS angstrom
4.207 0.000 0.000
2.103 3.643 0.000
2.103 1.214 7.215
```

Output
For the density of states at the Fermi level, the calculation gives 0.61 states/eV/cell. Its energy relative to the lowest polymorph listed for this composition is 69 meV per atom. The raw formation energy comes out at -4.4 eV per formula unit.